1.
Compound: ZrCd2B2
Source: the Alexandria database
Functional: GGA-PBE
Structure: relaxed

Results
Total moment = 0.0 μB/cell
Formation energy from the elements = 684 meV per atom
V = 156.25 Å³ per cell
Relative energy among the computed polymorphs = 2.206 eV per formula unit
Crystal system = tetragonal
DFT total energy = -4.062 eV per atom

CIF file:
```
data_ZrCd2B2
_symmetry_space_group_name_H-M 'P 4/m b m'
_symmetry_Int_Tables_number 127
_symmetry_space_group_name_Hall '-P 4 2ab'
_cell_length_a 6.972
_cell_length_b 6.972
_cell_length_c 3.215
_cell_angle_alpha 90.00
_cell_angle_beta 90.00
_cell_angle_gamma 90.00
loop_
_atom_site_label
_atom_site_fract_x
_atom_site_fract_y
_atom_site_fract_z
_atom_site_occupancy
Zr1 0.000 0.000 0.000 1
Cd1 0.143 0.357 0.500 1
B1 0.163 0.663 0.000 1
```

=====

2.
Compound: HoScIn4
Source: the Alexandria database
Functional: GGA-PBE
Structure: relaxed

Results
Total moment = 0.0 μB/cell
Formation energy from the elements = -223 meV per atom
V = 587.26 Å³ per cell
Crystal system = cubic
DFT total energy = -3.867 eV per atom

CIF file:
```
data_HoScIn4
_symmetry_space_group_name_H-M 'F -4 3 m'
_symmetry_Int_Tables_number 216
_symmetry_space_group_name_Hall 'F -4 2 3'
_cell_length_a 8.374
_cell_length_b 8.374
_cell_length_c 8.374
_cell_angle_alpha 90.00
_cell_angle_beta 90.00
_cell_angle_gamma 90.00
loop_
_atom_site_label
_atom_site_fract_x
_atom_site_fract_y
_atom_site_fract_z
_atom_site_occupancy
Ho1 0.000 0.000 0.000 1
Sc1 0.250 0.250 0.750 1
In1 0.125 0.125 0.375 1
```

=====

3.
Compound: ZnCr2Fe
Source: the Alexandria database
Functional: GGA-PBE
Structure: relaxed

Results
Total moment = 4.2 μB/cell
Formation energy from the elements = 199 meV per atom
V = 96.86 Å³ per cell
Crystal system = orthorhombic
DFT total energy = -7.047 eV per atom

CIF file:
```
data_ZnCr2Fe
_symmetry_space_group_name_H-M 'I m m 2'
_symmetry_Int_Tables_number 44
_symmetry_space_group_name_Hall 'I 2 -2'
_cell_length_a 2.968
_cell_length_b 4.135
_cell_length_c 7.894
_cell_angle_alpha 90.00
_cell_angle_beta 90.00
_cell_angle_gamma 90.00
loop_
_atom_site_label
_atom_site_fract_x
_atom_site_fract_y
_atom_site_fract_z
_atom_site_occupancy
Zn1 0.000 0.000 0.000 1
Cr1 0.000 0.000 0.493 1
Cr2 0.000 0.500 0.772 1
Fe1 0.000 0.500 0.235 1
```

=====

4.
Compound: CeCu4Ge2
Source: the Alexandria database
Functional: GGA-PBE
Structure: relaxed

Results
Total moment = 0.6 μB/cell
Formation energy from the elements = -296 meV per atom
V = 222.87 Å³ per cell
Crystal system = tetragonal
DFT total energy = -4.804 eV per atom

CIF file:
```
data_CeCu4Ge2
_symmetry_space_group_name_H-M 'P 42/m n m'
_symmetry_Int_Tables_number 136
_symmetry_space_group_name_Hall '-P 4n 2n'
_cell_length_a 7.461
_cell_length_b 7.461
_cell_length_c 4.003
_cell_angle_alpha 90.00
_cell_angle_beta 90.00
_cell_angle_gamma 90.00
loop_
_atom_site_label
_atom_site_fract_x
_atom_site_fract_y
_atom_site_fract_z
_atom_site_occupancy
Ce1 0.000 0.000 0.000 1
Cu1 0.090 0.348 0.500 1
Ge1 0.215 0.785 0.500 1
```

=====

5.
Compound: MgNiMoIr
Source: the Alexandria database
Functional: GGA-PBE
Structure: relaxed

Results
Total moment = 3.5 μB/cell
Formation energy from the elements = -83 meV per atom
V = 232.95 Å³ per cell
Crystal system = cubic
DFT total energy = -6.850 eV per atom

CIF file:
```
data_MgNiMoIr
_symmetry_space_group_name_H-M 'F -4 3 m'
_symmetry_Int_Tables_number 216
_symmetry_space_group_name_Hall 'F -4 2 3'
_cell_length_a 6.153
_cell_length_b 6.153
_cell_length_c 6.153
_cell_angle_alpha 90.00
_cell_angle_beta 90.00
_cell_angle_gamma 90.00
loop_
_atom_site_label
_atom_site_fract_x
_atom_site_fract_y
_atom_site_fract_z
_atom_site_occupancy
Mg1 0.000 0.000 0.000 1
Ni1 0.250 0.250 0.250 1
Mo1 0.000 0.000 0.500 1
Ir1 0.250 0.250 0.750 1
```

=====

6.
Compound: Cs2ReO4
Source: the Alexandria database
Functional: GGA-PBE
Structure: relaxed

Results
Total moment = 4.0 μB/cell
V = 693.11 Å³ per cell
Relative energy among the computed polymorphs = 0.000 eV per formula unit
Crystal system = orthorhombic
Formation energy from raw total energies = -1192.5 kJ/mol of formula units
DFT total energy = -6.621 eV per atom

CIF file:
```
data_Cs2ReO4
_symmetry_space_group_name_H-M 'P n m a'
_symmetry_Int_Tables_number 62
_symmetry_space_group_name_Hall '-P 2ac 2n'
_cell_length_a 8.540
_cell_length_b 6.623
_cell_length_c 12.254
_cell_angle_alpha 90.00
_cell_angle_beta 90.00
_cell_angle_gamma 90.00
loop_
_atom_site_label
_atom_site_fract_x
_atom_site_fract_y
_atom_site_fract_z
_atom_site_occupancy
Cs1 0.022 0.250 0.226 1
Cs2 0.183 0.750 0.411 1
Re1 0.222 0.750 0.079 1
O1 0.035 0.750 0.149 1
O2 0.197 0.010 0.619 1
O3 0.248 0.250 0.433 1
```